Density functional theory data (PBE) for a relaxed structure of Zn3W.

```
8
Lattice="2.7271 -4.8657 0.0000 2.7271 4.8657 0.0000 0.0000 0.0000 4.4790" Properties=species:S:1:pos:R:3 pbc="T T T"
Zn 1.3400 1.7029 3.3592
Zn 2.7271 3.9992 3.3592
Zn 1.3400 -1.7029 1.1197
Zn 4.1141 1.7029 3.3592
Zn 2.7271 -3.9992 1.1197
Zn 4.1141 -1.7029 1.1197
W 2.7271 0.6831 1.1197
W 2.7271 -0.6831 3.3592
```

Summary:
calculated formation energy = 14.0 kJ/mol of atoms
mass density = 10.62 Mg/m³
symmetry = Cmcm, No. 63
spin magnetization = 0.00 μB per cell
crystal system = orthorhombic



Density functional theory data (PBE) for a relaxed structure of Zn3W.

```
8
Lattice="5.3897 0.0000 0.0000 -2.6948 4.6676 0.0000 0.0000 0.0000 4.5745" Properties=species:S:1:pos:R:3 pbc="T T T"
Zn 0.0000 1.5574 1.1436
Zn -1.3461 3.8889 1.1436
Zn 1.3487 0.7787 3.4309
Zn 1.3461 3.8889 1.1436
Zn 4.0409 0.7787 3.4309
Zn 2.6948 3.1102 3.4309
W 0.0000 3.1117 3.4309
W 2.6948 1.5559 1.1436
```

Summary:
calculated formation energy = 27.9 kJ/mol of atoms
mass density = 10.97 Mg/m³
symmetry = P6_3/mmc, No. 194
spin magnetization = 0.02 μB per cell
crystal system = hexagonal



Number 1 is which compound? Zn3W